This record from the Alexandria database describes crystalline BaAg2Au at its relaxed geometry. The functional is PBE.

Output
* energy above the most stable polymorph in this dataset: 250 meV/atom
* uncorrected energy: -2.82 eV per atom
* energy of formation from the pure elements: -0.4 eV per formula unit
* calculated density: 8.59 g/cm3

a b c (Å): 4.4599 4.4599 5.3430
angles (deg): 90.00 90.00 90.00
Fractional positions:
Ba1 0.0000 0.0000 0.0000
Ag1 0.0000 0.5000 0.5000
Ag2 0.5000 0.0000 0.5000
Au1 0.5000 0.5000 0.0000

This record from the Alexandria database describes crystalline BaAg2Au at its relaxed geometry. The functional is PBE.

Output
* energy above the most stable polymorph in this dataset: 229 meV/atom
* uncorrected energy: -2.84 eV per atom
* energy of formation from the pure elements: -0.5 eV per formula unit
* calculated density: 8.82 g/cm3

a b c (Å): 5.2718 5.2718 5.2718
angles (deg): 60.00 60.00 60.00
Fractional positions:
Ba1 0.0000 0.0000 0.0000
Ag1 0.2500 0.2500 0.2500
Ag2 0.7500 0.7500 0.7500
Au1 0.5000 0.5000 0.5000

This record from the Alexandria database describes crystalline BaAgAu2 at its relaxed geometry. The functional is PBE.

Output
* uncorrected energy: -3.16 eV per atom
* energy of formation from the pure elements: -1.3 eV per formula unit
* calculated density: 10.60 g/cm3

a b c (Å): 3.7180 3.8014 7.0867
angles (deg): 90.00 90.00 90.00
Fractional positions:
Ba1 0.0000 0.0000 0.0000
Ag1 0.0000 0.0000 0.5000
Au1 0.5000 0.5000 0.3024
Au2 0.5000 0.5000 0.6976

This record from the Alexandria database describes crystalline Ba2AgAu at its relaxed geometry. The functional is PBE.

Output
* uncorrected energy: -2.91 eV per atom
* energy of formation from the pure elements: -1.7 eV per formula unit
* calculated density: 6.02 g/cm3

a b c (Å): 8.6238 8.6238 8.6238
angles (deg): 31.99 31.99 31.99
Fractional positions:
Ba1 0.0000 0.0000 0.0000
Ba2 0.1807 0.1807 0.1807
Ag1 0.7559 0.7559 0.7559
Au1 0.5913 0.5913 0.5913

This record from the Alexandria database describes crystalline BaAg2Au at its relaxed geometry. The functional is PBE.

Output
* energy above the most stable polymorph in this dataset: 116 meV/atom
* uncorrected energy: -2.95 eV per atom
* energy of formation from the pure elements: -0.9 eV per formula unit
* calculated density: 8.25 g/cm3

a b c (Å): 3.9767 4.2192 6.5949
angles (deg): 90.00 90.00 90.00
Fractional positions:
Ba1 0.0000 0.0000 0.0000
Ag1 0.0000 0.5000 0.4402
Ag2 0.5000 0.0000 0.4543
Au1 0.5000 0.5000 0.7572

This record from the Alexandria database describes crystalline Ba3Ag3Au at its relaxed geometry. The functional is PBE.

Output
* uncorrected energy: -2.90 eV per atom
* energy of formation from the pure elements: -2.7 eV per formula unit
* calculated density: 6.45 g/cm3

a b c (Å): 6.6072 6.6072 17.4399
angles (deg): 108.87 108.87 42.21
Fractional positions:
Ba1 0.0267 0.0267 0.2677
Ba2 0.1764 0.1764 0.5773
Ba3 0.3250 0.3250 0.9045
Ba4 0.6750 0.6750 0.0955
Ba5 0.8236 0.8236 0.4227
Ba6 0.9733 0.9733 0.7323
Ag1 0.0559 0.0559 0.9427
Ag2 0.3190 0.3190 0.2684
Ag3 0.4698 0.4698 0.5769
Ag4 0.5302 0.5302 0.4231
Ag5 0.6810 0.6810 0.7316
Ag6 0.9441 0.9441 0.0573
Au1 0.3926 0.3926 0.1268
Au2 0.6074 0.6074 0.8732

This record from the Alexandria database describes crystalline BaAgAu3 at its relaxed geometry. The functional is PBE.

Output
* energy above the most stable polymorph in this dataset: 0 meV/atom
* uncorrected energy: -3.34 eV per atom
* energy of formation from the pure elements: -2.1 eV per formula unit
* calculated density: 10.96 g/cm3

a b c (Å): 6.5529 6.5529 6.5825
angles (deg): 90.00 90.00 116.32
Fractional positions:
Ba1 0.2348 0.7652 0.7500
Ba2 0.7652 0.2348 0.2500
Ag1 0.0894 0.9106 0.2500
Ag2 0.9106 0.0894 0.7500
Au1 0.2926 0.2926 0.0000
Au2 0.2926 0.2926 0.5000
Au3 0.3341 0.6659 0.2500
Au4 0.6659 0.3341 0.7500
Au5 0.7074 0.7074 0.0000
Au6 0.7074 0.7074 0.5000

This record from the Alexandria database describes crystalline Ba4AgAu3 at its relaxed geometry. The functional is PBE.

Output
* uncorrected energy: -3.15 eV per atom
* energy of formation from the pure elements: -4.8 eV per formula unit
* calculated density: 7.34 g/cm3

a b c (Å): 4.5365 5.0550 12.3181
angles (deg): 90.00 90.00 90.00
Fractional positions:
Ba1 0.0000 0.0000 0.0000
Ba2 0.0000 0.5000 0.2663
Ba3 0.5000 0.0000 0.4906
Ba4 0.5000 0.5000 0.7689
Ag1 0.0000 0.0000 0.7019
Au1 0.0000 0.5000 0.5575
Au2 0.5000 0.0000 0.2106
Au3 0.5000 0.5000 0.0522

This record from the Alexandria database describes crystalline Ba2Ag3Bi4Au at its relaxed geometry. The functional is PBE.

Output
* uncorrected energy: -3.54 eV per atom
* energy of formation from the pure elements: -4.2 eV per formula unit
* calculated density: 8.96 g/cm3

a b c (Å): 5.0776 5.0776 11.7282
angles (deg): 90.00 90.00 90.00
Fractional positions:
Ba1 0.0000 0.5000 0.2368
Ba2 0.5000 0.0000 0.7632
Ag1 0.0000 0.0000 0.0000
Ag2 0.0000 0.5000 0.6318
Ag3 0.5000 0.0000 0.3682
Bi1 0.0000 0.0000 0.5000
Bi2 0.0000 0.5000 0.8735
Bi3 0.5000 0.0000 0.1265
Bi4 0.5000 0.5000 0.5000
Au1 0.5000 0.5000 0.0000

This record from the Alexandria database describes crystalline Ba2AgBi4Au3 at its relaxed geometry. The functional is PBE.

Output
* uncorrected energy: -3.70 eV per atom
* energy of formation from the pure elements: -4.9 eV per formula unit
* calculated density: 10.01 g/cm3

a b c (Å): 5.0499 5.0499 11.7722
angles (deg): 90.00 90.00 90.00
Fractional positions:
Ba1 0.0000 0.5000 0.2411
Ba2 0.5000 0.0000 0.7589
Ag1 0.5000 0.5000 0.0000
Bi1 0.0000 0.0000 0.5000
Bi2 0.0000 0.5000 0.8721
Bi3 0.5000 0.0000 0.1279
Bi4 0.5000 0.5000 0.5000
Au1 0.0000 0.0000 0.0000
Au2 0.0000 0.5000 0.6334
Au3 0.5000 0.0000 0.3666

This record from the Alexandria database describes crystalline Ba4AgAuBr2 at its relaxed geometry. The functional is PBE.

Output
* energy relative to the elements, uncorrected: -1.06 eV/atom
* uncorrected energy: -3.20 eV per atom
* calculated density: 5.15 g/cm3

a b c (Å): 8.1469 4.6997 8.9586
angles (deg): 90.00 107.54 90.00
Fractional positions:
Ba1 0.2360 0.0000 0.2218
Ba2 0.2541 0.5000 0.7746
Ba3 0.7459 0.5000 0.2254
Ba4 0.7640 0.0000 0.7782
Ag1 0.5000 0.0000 0.0000
Au1 0.0000 0.5000 0.0000
Br1 0.0000 0.0000 0.5000
Br2 0.5000 0.5000 0.5000

This record from the Alexandria database describes crystalline BaAg2AuBr8 at its relaxed geometry. The functional is PBE.

Output
* energy relative to the elements, uncorrected: -0.69 eV/atom
* uncorrected energy: -2.72 eV per atom
* calculated density: 4.15 g/cm3

a b c (Å): 5.4340 9.1415 10.4384
angles (deg): 107.69 104.68 91.06
Fractional positions:
Ba1 0.0000 0.0000 0.0000
Ag1 0.3073 0.6516 0.6043
Ag2 0.6927 0.3484 0.3957
Au1 0.0000 0.5000 0.0000
Br1 0.2146 0.3656 0.4408
Br2 0.2215 0.7458 0.1754
Br3 0.3366 0.3509 0.0935
Br4 0.3718 0.9290 0.7793
Br5 0.6282 0.0710 0.2207
Br6 0.6634 0.6491 0.9065
Br7 0.7785 0.2542 0.8246
Br8 0.7854 0.6344 0.5592